one:
{
  "formula": "Dy4Al3Cd",
  "functional": "GGA-PBE",
  "state": "optimized geometry",
  "lattice": [[5.152, 0.000, 0.000], [0.000, 7.256, 0.000], [0.000, 0.000, 10.304]],
  "species": ["Cd", "Cd", "Al", "Al", "Al", "Al", "Al", "Al", "Dy", "Dy", "Dy", "Dy", "Dy", "Dy", "Dy", "Dy"],
  "frac_coords": [[0.000, 0.500, 0.000], [0.000, 0.500, 0.500], [0.000, 0.000, 0.000], [0.000, 0.000, 0.500], [0.502, 0.000, 0.750], [0.498, 0.000, 0.250], [0.501, 0.500, 0.750], [0.499, 0.500, 0.250], [0.500, 0.754, 0.000], [0.500, 0.754, 0.500], [0.500, 0.246, 0.000], [0.500, 0.246, 0.500], [0.001, 0.754, 0.750], [0.999, 0.754, 0.250], [0.999, 0.246, 0.250], [0.001, 0.246, 0.750]]
}


two:
{
  "formula": "Dy4Al3Cd",
  "functional": "GGA-PBE",
  "state": "optimized geometry",
  "lattice": [[3.691, 0.000, 0.000], [0.000, 4.575, 0.000], [0.000, 0.000, 11.806]],
  "species": ["Dy", "Dy", "Dy", "Dy", "Al", "Al", "Al", "Cd"],
  "frac_coords": [[0.500, 0.500, 0.348], [0.000, 0.500, 0.839], [0.000, 0.000, 0.160], [0.500, 0.000, 0.655], [0.000, 0.500, 0.568], [0.000, 0.000, 0.433], [0.500, 0.000, 0.928], [0.500, 0.500, 0.068]]
}


Stability check: which of them is least stable? two.


one:
{
  "formula": "LaDyAlCd",
  "functional": "GGA-PBE",
  "state": "optimized geometry",
  "lattice": [[5.353, 0.000, 0.000], [2.677, 4.636, 0.000], [2.677, 1.545, 4.371]],
  "species": ["Cd", "La", "Al", "Dy"],
  "frac_coords": [[0.250, 0.250, 0.250], [0.000, 0.000, 0.000], [0.750, 0.750, 0.750], [0.500, 0.500, 0.500]]
}


two:
{
  "formula": "LaDyAlCd",
  "functional": "GGA-PBE",
  "state": "optimized geometry",
  "lattice": [[3.660, 0.000, 0.000], [0.000, 3.660, 0.000], [0.000, 0.000, 7.975]],
  "species": ["La", "Dy", "Al", "Cd"],
  "frac_coords": [[0.500, 0.500, 0.125], [0.500, 0.500, 0.594], [0.000, 0.000, 0.375], [0.000, 0.000, 0.834]]
}


Stability check: which of them is least stable? one.


one:
{
  "formula": "NdDyAlCd",
  "functional": "GGA-PBE",
  "state": "optimized geometry",
  "lattice": [[5.290, 0.000, 0.000], [2.645, 4.581, 0.000], [2.645, 1.527, 4.319]],
  "species": ["Cd", "Nd", "Al", "Dy"],
  "frac_coords": [[0.750, 0.750, 0.750], [0.000, 0.000, 0.000], [0.250, 0.250, 0.250], [0.500, 0.500, 0.500]]
}


two:
{
  "formula": "NdDyAlCd",
  "functional": "GGA-PBE",
  "state": "optimized geometry",
  "lattice": [[-0.370, 3.311, -1.521], [-3.322, -0.935, -1.225], [-3.168, 2.660, 6.559]],
  "species": ["Nd", "Dy", "Al", "Cd"],
  "frac_coords": [[0.500, 0.500, 0.121], [0.500, 0.500, 0.596], [0.000, 0.000, 0.369], [0.000, 0.000, 0.842]]
}


Stability check: which of them is least stable? one.


one:
{
  "formula": "PrDyAlCd",
  "functional": "GGA-PBE",
  "state": "optimized geometry",
  "lattice": [[-0.541, -2.924, -4.400], [0.667, -5.264, 0.211], [-4.180, -3.230, -0.545]],
  "species": ["Pr", "Cd", "Al", "Dy"],
  "frac_coords": [[0.250, 0.250, 0.250], [0.000, 0.000, 0.000], [0.500, 0.500, 0.500], [0.750, 0.750, 0.750]]
}


two:
{
  "formula": "PrDyAlCd",
  "functional": "GGA-PBE",
  "state": "optimized geometry",
  "lattice": [[3.663, 0.000, 0.000], [0.000, 3.663, 0.000], [0.000, 0.000, 7.834]],
  "species": ["Pr", "Dy", "Al", "Cd"],
  "frac_coords": [[0.500, 0.500, 0.121], [0.500, 0.500, 0.596], [0.000, 0.000, 0.371], [0.000, 0.000, 0.839]]
}


Stability check: which of them is least stable? one.